# Ce2U2Se7 | Alexandria via LeMat-Bulk | PBE | optimized geometry
data_Ce2U2Se7
_chemical_formula_sum 'Ce4 U4 Se14'
_cell_length_a 4.107
_cell_length_b 14.830
_cell_length_c 9.096
_cell_angle_alpha 90.00
_cell_angle_beta 90.00
_cell_angle_gamma 90.00
_space_group_name_H-M_alt 'I m m 2'
_space_group_IT_number 44
_space_group_name_Hall 'I 2 -2'
loop_
_atom_site_label
_atom_site_type_symbol
_atom_site_fract_x
_atom_site_fract_y
_atom_site_fract_z
Ce1 Ce 0.000 0.240 0.000
U1 U 0.000 0.000 0.757
U2 U 0.000 0.500 0.806
Se1 Se 0.000 0.000 0.079
Se2 Se 0.000 0.107 0.480
Se3 Se 0.000 0.318 0.701
Se4 Se 0.000 0.366 0.309
# Calculated density in Mg/m³: 7.8
# Formation energy (no corrections) in eV per atom: -1.44
# DOS at the Fermi energy in states/eV/f.u.: 23.5
# Energy above the most stable polymorph in this dataset in meV per atom: 0.0

# Nd7Ho3Sc | Alexandria via LeMat-Bulk | PBE | optimized geometry
data_Nd7Ho3Sc
_chemical_formula_sum 'Nd14 Ho6 Sc2'
_cell_length_a 6.191
_cell_length_b 9.683
_cell_length_c 12.565
_cell_angle_alpha 93.32
_cell_angle_beta 92.26
_cell_angle_gamma 102.72
_space_group_name_H-M_alt 'P 1'
_space_group_IT_number 1
_space_group_name_Hall 'P 1'
loop_
_atom_site_label
_atom_site_type_symbol
_atom_site_fract_x
_atom_site_fract_y
_atom_site_fract_z
Nd1 Nd 0.000 0.000 0.000
Nd2 Nd 0.018 0.359 0.025
Nd3 Nd 0.081 0.526 0.298
Nd4 Nd 0.184 0.338 0.527
Nd5 Nd 0.256 0.508 0.798
Nd6 Nd 0.290 0.869 0.828
Nd7 Nd 0.369 0.890 0.343
Nd8 Nd 0.447 0.068 0.612
Nd9 Nd 0.545 0.442 0.160
Nd10 Nd 0.573 0.078 0.124
Nd11 Nd 0.628 0.613 0.434
Nd12 Nd 0.732 0.438 0.667
Nd13 Nd 0.768 0.640 0.935
Nd14 Nd 0.904 0.971 0.481
Ho1 Ho 0.109 0.162 0.258
Ho2 Ho 0.175 0.705 0.572
Ho3 Ho 0.292 0.724 0.080
Ho4 Ho 0.501 0.240 0.887
Ho5 Ho 0.650 0.252 0.389
Ho6 Ho 0.971 0.137 0.751
Sc1 Sc 0.715 0.790 0.693
Sc2 Sc 0.830 0.804 0.213
# Calculated density in Mg/m³: 7.0
# DOS at the Fermi energy in states/eV/f.u.: 16.7
# ΔE_f in eV per atom: 0.057
# Energy above the most stable polymorph in this dataset in meV per atom: 0.0

# SmPt2Rh | Alexandria via LeMat-Bulk | PBE | optimized geometry
data_SmPt2Rh
_chemical_formula_sum 'Sm4 Pt8 Rh4'
_cell_length_a 5.482
_cell_length_b 8.641
_cell_length_c 7.983
_cell_angle_alpha 90.00
_cell_angle_beta 90.00
_cell_angle_gamma 90.00
_space_group_name_H-M_alt 'P m m a'
_space_group_IT_number 51
_space_group_name_Hall '-P 2a 2a'
loop_
_atom_site_label
_atom_site_type_symbol
_atom_site_fract_x
_atom_site_fract_y
_atom_site_fract_z
Sm1 Sm 0.250 0.000 0.157
Sm2 Sm 0.250 0.500 0.318
Pt1 Pt 0.000 0.000 0.500
Pt2 Pt 0.000 0.500 0.000
Pt3 Pt 0.250 0.258 0.557
Rh1 Rh 0.250 0.000 0.806
Rh2 Rh 0.250 0.500 0.729
# Calculated density in Mg/m³: 11.3
# DOS at the Fermi energy in states/eV/f.u.: 4.8
# ΔE_f in eV per atom: -0.151

# Ge2BiIr2 | Alexandria via LeMat-Bulk | PBE | optimized geometry
data_Ge2BiIr2
_chemical_formula_sum 'Ge4 Bi2 Ir4'
_cell_length_a 7.743
_cell_length_b 7.743
_cell_length_c 2.968
_cell_angle_alpha 90.00
_cell_angle_beta 90.00
_cell_angle_gamma 90.00
_space_group_name_H-M_alt 'P 4/m b m'
_space_group_IT_number 127
_space_group_name_Hall '-P 4 2ab'
loop_
_atom_site_label
_atom_site_type_symbol
_atom_site_fract_x
_atom_site_fract_y
_atom_site_fract_z
Ge1 Ge 0.145 0.355 0.000
Bi1 Bi 0.000 0.000 0.500
Ir1 Ir 0.140 0.640 0.500
# Calculated density in Mg/m³: 13.8
# DOS at the Fermi energy in states/eV/f.u.: 3.2
# ΔE_f in eV per atom: 0.048
# Energy above the most stable polymorph in this dataset in meV per atom: 112.0